Record 1
This record from Alexandria describes a relaxed structure of Pr6CuNi2. The functional is GGA-PBE.

Unit cell a=8.6147 b=8.6147 c=8.6147 alpha=112.69 beta=108.72 gamma=107.06
Fractional positions:
Pr (0.0432, 0.2324, 0.8109)
Pr (0.1764, 0.2852, 0.4617)
Pr (0.1764, 0.7148, 0.8912)
Pr (0.3275, 0.0203, 0.6928)
Pr (0.3275, 0.6347, 0.3072)
Pr (0.4215, 0.2324, 0.1891)
Pr (0.5785, 0.7676, 0.8109)
Pr (0.6725, 0.3653, 0.6928)
Pr (0.6725, 0.9797, 0.3072)
Pr (0.8236, 0.2852, 0.1088)
Pr (0.8236, 0.7148, 0.5383)
Pr (0.9568, 0.7676, 0.1891)
Cu (0.0000, 0.0000, 0.0000)
Cu (0.5000, 0.5000, 0.0000)
Ni (0.1213, 0.6213, 0.5000)
Ni (0.3511, 0.0000, 0.3511)
Ni (0.6489, 0.0000, 0.6489)
Ni (0.8787, 0.3787, 0.5000)

Computed properties:
Formation energy: -0.144 eV per atom
Space group: Immm, No. 71
E: -0.373 Ry/atom

---

Record 2
This record from Alexandria describes a relaxed structure of Pr2CuNi2. The functional is GGA-PBE.

Unit cell a=5.3811 b=5.3811 c=7.9727 alpha=102.05 beta=102.05 gamma=61.50
Fractional positions:
Pr (0.0135, 0.2866, 0.1507)
Pr (0.2866, 0.0135, 0.6507)
Pr (0.7134, 0.9865, 0.3493)
Pr (0.9865, 0.7134, 0.8493)
Cu (0.3589, 0.6411, 0.2500)
Cu (0.6411, 0.3589, 0.7500)
Ni (0.2366, 0.4997, 0.4942)
Ni (0.4997, 0.2366, 0.9942)
Ni (0.5003, 0.7634, 0.0058)
Ni (0.7634, 0.5003, 0.5058)

Computed properties:
Formation energy: -0.248 eV per atom
Space group: C2/c, No. 15
E: -0.389 Ry/atom

---

Record 3
This record from Alexandria describes a relaxed structure of Pr4Cu2Ni5. The functional is GGA-PBE.

Unit cell a=6.7112 b=4.1151 c=7.7522 alpha=90.00 beta=91.20 gamma=90.00
Fractional positions:
Pr (0.2389, 0.0000, 0.1253)
Pr (0.2537, 0.0000, 0.6189)
Pr (0.7463, 0.0000, 0.3811)
Pr (0.7611, 0.0000, 0.8747)
Cu (0.4093, 0.5000, 0.8637)
Cu (0.5907, 0.5000, 0.1363)
Ni (0.0000, 0.5000, 0.5000)
Ni (0.0400, 0.5000, 0.8284)
Ni (0.3541, 0.5000, 0.3791)
Ni (0.6459, 0.5000, 0.6209)
Ni (0.9600, 0.5000, 0.1716)

Computed properties:
Formation energy: -0.216 eV per atom
Space group: P2/m, No. 10
E: -0.391 Ry/atom

---

Record 4
This record from Alexandria describes a relaxed structure of Pr2Cu3Ni4. The functional is GGA-PBE.

Unit cell a=7.7815 b=6.8066 c=5.1477 alpha=79.91 beta=59.45 gamma=40.64
Fractional positions:
Pr (0.1461, 0.1461, 0.8539)
Pr (0.8539, 0.8539, 0.1461)
Cu (0.0000, 0.0000, 0.5000)
Cu (0.5000, 0.5000, 0.0000)
Cu (0.5000, 0.5000, 0.5000)
Ni (0.1515, 0.5169, 0.4831)
Ni (0.4831, 0.8485, 0.1515)
Ni (0.5169, 0.1515, 0.8485)
Ni (0.8485, 0.4831, 0.5169)

Computed properties:
Formation energy: -0.160 eV per atom
Space group: Fmmm, No. 69
E: -0.379 Ry/atom